This record from Alexandria describes a geometry-optimized Ho6TeC2Se3 structure. The functional is GGA-PBE.

Results
formation energy from raw total energies = -1.27 eV/atom
space group = C2/m (12)

a b c (Å): 3.870 8.105 8.938
angles (deg): 102.75 102.50 90.00
Element x y z (fractional)
Ho: 0.321 0.862 0.643
Ho: 0.680 0.562 0.360
Ho: 0.679 0.138 0.357
Ho: 0.031 0.282 0.062
Ho: 0.969 0.718 0.938
Ho: 0.320 0.438 0.640
Te: 0.500 0.000 0.000
C: 0.827 0.659 0.655
C: 0.173 0.341 0.345
Se: 0.500 0.500 0.000
Se: 0.841 0.165 0.682
Se: 0.159 0.835 0.318

***

This record from Alexandria describes a geometry-optimized HoThCSe structure. The functional is GGA-PBE.

Results
formation energy from raw total energies = -1.08 eV/atom
space group = R3m (160)

a b c (Å): 3.770 3.769 7.273
angles (deg): 90.00 105.01 119.99
Element x y z (fractional)
Ho: 0.105 0.951 0.071
Th: 0.505 0.150 0.670
C: 0.308 0.552 0.875
Se: 0.960 0.378 0.354

***

This record from Alexandria describes a geometry-optimized Ho8Tl3CSe3 structure. The functional is GGA-PBE.

Results
formation energy from raw total energies = -0.86 eV/atom
space group = C2/m (12)

a b c (Å): 7.841 7.844 8.966
angles (deg): 115.98 90.00 120.01
Element x y z (fractional)
Ho: 0.260 0.521 0.281
Ho: 0.740 0.479 0.719
Ho: 0.790 0.581 0.307
Ho: 0.210 0.419 0.693
Ho: 0.790 0.015 0.306
Ho: 0.210 0.985 0.694
Ho: 0.225 0.015 0.306
Ho: 0.775 0.985 0.694
Tl: 0.000 0.000 0.000
Tl: 0.000 0.500 0.000
Tl: 0.500 0.500 0.000
C: 0.000 0.000 0.500
Se: 0.500 0.000 0.500
Se: 0.500 0.500 0.500
Se: 0.000 0.500 0.500

***

This record from Alexandria describes a geometry-optimized Ho8Tl4CSe3 structure. The functional is GGA-PBE.

Results
formation energy from raw total energies = -0.88 eV/atom
space group = R-3m (166)

a b c (Å): 7.788 9.026 7.789
angles (deg): 115.56 120.00 90.00
Element x y z (fractional)
Ho: 0.213 0.694 0.981
Ho: 0.213 0.694 0.426
Ho: 0.260 0.281 0.521
Ho: 0.768 0.694 0.981
Ho: 0.232 0.306 0.019
Ho: 0.740 0.719 0.479
Ho: 0.787 0.306 0.574
Ho: 0.787 0.306 0.019
Tl: 0.500 0.000 0.000
Tl: 0.500 0.000 0.500
Tl: 0.000 0.000 0.000
Tl: 0.000 0.000 0.500
C: 0.000 0.500 0.000
Se: 0.500 0.500 0.000
Se: 0.500 0.500 0.500
Se: 0.000 0.500 0.500

***

This record from Alexandria describes a geometry-optimized HoTmCSe structure. The functional is GGA-PBE.

Results
formation energy from raw total energies = -1.13 eV/atom
space group = R3m (160)

a b c (Å): 3.694 3.694 6.991
angles (deg): 90.01 105.32 120.00
Element x y z (fractional)
Ho: 0.504 0.150 0.669
Tm: 0.102 0.949 0.066
C: 0.306 0.551 0.872
Se: 0.966 0.381 0.362

***

This record from Alexandria describes a geometry-optimized HoUCSe2 structure. The functional is GGA-PBE.

Results
formation energy from raw total energies = -1.10 eV/atom
space group = P4/nmm (129)

a b c (Å): 3.908 3.908 14.389
angles (deg): 90.00 90.00 90.00
Element x y z (fractional)
Ho: 0.500 0.000 0.122
Ho: 0.000 0.500 0.878
U: 0.500 0.000 0.582
U: 0.000 0.500 0.418
C: 0.000 0.000 0.500
C: 0.500 0.500 0.500
Se: 0.000 0.500 0.688
Se: 0.000 0.500 0.090
Se: 0.500 0.000 0.910
Se: 0.500 0.000 0.312

***

This record from Alexandria describes a geometry-optimized YHoCSe structure. The functional is GGA-PBE.

Results
formation energy from raw total energies = -1.11 eV/atom
space group = R3m (160)

a b c (Å): 3.728 3.728 7.060
angles (deg): 90.01 105.30 120.00
Element x y z (fractional)
Y: 0.102 0.949 0.067
Ho: 0.503 0.150 0.668
C: 0.303 0.550 0.868
Se: 0.969 0.382 0.366

***

This record from Alexandria describes a geometry-optimized HoZrCSe structure. The functional is GGA-PBE.

Results
formation energy from raw total energies = -1.13 eV/atom
space group = R3m (160)

a b c (Å): 3.571 3.570 6.880
angles (deg): 90.00 105.04 119.99
Element x y z (fractional)
Ho: 0.503 0.150 0.668
Zr: 0.098 0.947 0.060
C: 0.318 0.557 0.889
Se: 0.959 0.378 0.352

***

This record from Alexandria describes a geometry-optimized Ho5Si3C structure. The functional is GGA-PBE.

Results
formation energy from raw total energies = -0.62 eV/atom
space group = P6_3/mcm (193)

a b c (Å): 8.402 8.402 6.396
angles (deg): 90.00 90.00 120.00
Element x y z (fractional)
C: 0.000 0.000 0.000
C: 0.000 0.000 0.500
Ho: 0.333 0.667 0.000
Ho: 0.667 0.333 0.500
Ho: 0.667 0.333 0.000
Ho: 0.333 0.667 0.500
Ho: 0.223 0.000 0.250
Ho: 0.000 0.223 0.250
Ho: 0.777 0.777 0.250
Ho: 0.777 0.000 0.750
Ho: 0.000 0.777 0.750
Ho: 0.223 0.223 0.750
Si: 0.589 0.000 0.250
Si: 0.000 0.589 0.250
Si: 0.411 0.411 0.250
Si: 0.411 0.000 0.750
Si: 0.000 0.411 0.750
Si: 0.589 0.589 0.750

***

This record from Alexandria describes a geometry-optimized Ho5Si2C structure. The functional is GGA-PBE.

Results
formation energy from raw total energies = -0.23 eV/atom
space group = Cmcm (63)

a b c (Å): 5.499 6.561 12.926
angles (deg): 90.00 90.00 114.78
Element x y z (fractional)
Ho: 0.945 0.889 0.877
Ho: 0.945 0.889 0.623
Ho: 0.338 0.676 0.394
Ho: 0.338 0.676 0.106
Ho: 0.701 0.403 0.250
Ho: 0.299 0.597 0.750
Ho: 0.662 0.324 0.606
Ho: 0.662 0.324 0.894
Ho: 0.055 0.111 0.123
Ho: 0.055 0.111 0.377
Si: 0.825 0.649 0.434
Si: 0.825 0.649 0.066
Si: 0.175 0.351 0.566
Si: 0.175 0.351 0.934
C: 0.799 0.598 0.750
C: 0.201 0.402 0.250

***

This record from Alexandria describes a geometry-optimized Ho6Si2C structure. The functional is GGA-PBE.

Results
formation energy from raw total energies = -0.47 eV/atom
space group = P2_1/c (14)

a b c (Å): 6.187 7.633 9.241
angles (deg): 90.00 91.02 90.00
Element x y z (fractional)
Ho: 0.887 0.966 0.249
Ho: 0.855 0.703 0.554
Ho: 0.827 0.663 0.944
Ho: 0.673 0.163 0.556
Ho: 0.645 0.203 0.946
Ho: 0.613 0.466 0.251
Ho: 0.113 0.034 0.751
Ho: 0.145 0.297 0.446
Ho: 0.173 0.337 0.056
Ho: 0.327 0.837 0.444
Ho: 0.355 0.797 0.054
Ho: 0.387 0.534 0.749
Si: 0.937 0.387 0.744
Si: 0.563 0.887 0.756
Si: 0.437 0.113 0.244
Si: 0.063 0.613 0.256
C: 0.500 0.500 0.000
C: 0.000 0.000 0.500

***

This record from Alexandria describes a geometry-optimized HoSiC structure. The functional is GGA-PBE.

Results
formation energy from raw total energies = -0.09 eV/atom
space group = I4/mmm (139)

a b c (Å): 3.553 3.553 8.776
angles (deg): 101.68 101.68 90.00
Element x y z (fractional)
Si: 0.072 0.072 0.144
Si: 0.928 0.928 0.856
Ho: 0.677 0.677 0.354
Ho: 0.323 0.323 0.646
C: 0.820 0.820 0.640
C: 0.180 0.180 0.360

***

Q: Which value of formation energy from raw total energies does entry 10 give?
A: -0.23 eV/atom

***

Q: Number 3 is which compound?
A: Ho8Tl3CSe3